# PBE-GGA NdSiPd, relaxed
data_NdSiPd
_chemical_formula_sum 'Nd12 Si12 Pd12'
_space_group_name_H-M_alt 'P 1'
_space_group_IT_number 1
_cell_length_a 4.425
_cell_length_b 7.568
_cell_length_c 21.854
_cell_angle_alpha 90.00
_cell_angle_beta 90.00
_cell_angle_gamma 90.00
loop_
_space_group_symop_operation_xyz
'x,y,z'
loop_
_atom_site_label
_atom_site_type_symbol
_atom_site_fract_x
_atom_site_fract_y
_atom_site_fract_z
_atom_site_occupancy
Nd1 Nd 0.250 0.706 0.333 1
Nd2 Nd 0.750 0.294 0.667 1
Nd3 Nd 0.750 0.206 0.167 1
Nd4 Nd 0.250 0.794 0.833 1
Nd5 Nd 0.250 0.798 0.166 1
Nd6 Nd 0.750 0.202 0.834 1
Nd7 Nd 0.750 0.298 0.334 1
Nd8 Nd 0.250 0.702 0.666 1
Nd9 Nd 0.250 0.709 0.002 1
Nd10 Nd 0.750 0.291 0.998 1
Nd11 Nd 0.750 0.209 0.498 1
Nd12 Nd 0.250 0.791 0.502 1
Si1 Si 0.250 0.092 0.070 1
Si2 Si 0.750 0.908 0.930 1
Si3 Si 0.750 0.592 0.430 1
Si4 Si 0.250 0.408 0.570 1
Si5 Si 0.250 0.087 0.272 1
Si6 Si 0.750 0.913 0.728 1
Si7 Si 0.750 0.587 0.228 1
Si8 Si 0.250 0.413 0.772 1
Si9 Si 0.250 0.087 0.393 1
Si10 Si 0.750 0.913 0.607 1
Si11 Si 0.750 0.587 0.107 1
Si12 Si 0.250 0.413 0.893 1
Pd1 Pd 0.250 0.419 0.237 1
Pd2 Pd 0.750 0.581 0.763 1
Pd3 Pd 0.750 0.919 0.263 1
Pd4 Pd 0.250 0.081 0.737 1
Pd5 Pd 0.250 0.418 0.437 1
Pd6 Pd 0.750 0.582 0.563 1
Pd7 Pd 0.750 0.918 0.063 1
Pd8 Pd 0.250 0.082 0.937 1
Pd9 Pd 0.250 0.421 0.095 1
Pd10 Pd 0.750 0.579 0.905 1
Pd11 Pd 0.750 0.921 0.405 1
Pd12 Pd 0.250 0.079 0.595 1
# * formation energy from raw total energies: -0.922 eV/atom
# * raw total energy: -6.0504 eV per atom
# * crystal system: orthorhombic
# * M_tot: 0.00 μB per formula unit

---

# PBE-GGA CsRb3Np2S6, relaxed
data_CsRb3Np2S6
_chemical_formula_sum 'Cs1 Rb3 Np2 S6'
_space_group_name_H-M_alt 'P 1'
_space_group_IT_number 1
_cell_length_a 4.202
_cell_length_b 9.295
_cell_length_c 10.222
_cell_angle_alpha 104.11
_cell_angle_beta 101.86
_cell_angle_gamma 90.00
loop_
_space_group_symop_operation_xyz
'x,y,z'
loop_
_atom_site_label
_atom_site_type_symbol
_atom_site_fract_x
_atom_site_fract_y
_atom_site_fract_z
_atom_site_occupancy
Cs1 Cs 0.500 0.000 0.000 1
Rb1 Rb 0.500 0.500 0.000 1
Rb2 Rb 0.841 0.162 0.682 1
Rb3 Rb 0.159 0.838 0.318 1
Np1 Np 0.825 0.655 0.650 1
Np2 Np 0.175 0.345 0.350 1
S1 S 0.321 0.845 0.643 1
S2 S 0.684 0.549 0.367 1
S3 S 0.679 0.155 0.357 1
S4 S 0.044 0.287 0.088 1
S5 S 0.956 0.713 0.912 1
S6 S 0.316 0.451 0.633 1
# * formation energy from raw total energies: -1.277 eV/atom
# * raw total energy: -5.8103 eV per atom
# * crystal system: monoclinic
# * M_tot: 6.00 μB per formula unit

---

# PBE-GGA PIrIN2, relaxed
data_PIrIN2
_chemical_formula_sum 'P1 Ir1 I1 N2'
_space_group_name_H-M_alt 'P 1'
_space_group_IT_number 1
_cell_length_a 3.770
_cell_length_b 3.770
_cell_length_c 8.589
_cell_angle_alpha 90.00
_cell_angle_beta 90.00
_cell_angle_gamma 90.00
loop_
_space_group_symop_operation_xyz
'x,y,z'
loop_
_atom_site_label
_atom_site_type_symbol
_atom_site_fract_x
_atom_site_fract_y
_atom_site_fract_z
_atom_site_occupancy
I1 I 0.000 0.000 0.500 1
P1 P 0.500 0.500 0.500 1
Ir1 Ir 0.000 0.000 0.000 1
N1 N 0.000 0.500 0.000 1
N2 N 0.500 0.000 0.000 1
# * formation energy from raw total energies: 1.109 eV/atom
# * raw total energy: -5.3854 eV per atom
# * crystal system: tetragonal
# * M_tot: 0.34 μB per formula unit
# * relative energy among the computed polymorphs: 0.0 meV/atom